DFT (PBE-GGA) results for a relaxed Ta3Hg crystal.

Calculated values
* formation energy: 0.26 eV/atom
* density: 16.4 Mg/m³

Cell: 2.8553 4.7683 5.6124 Å, 90.00 80.25 90.00°
Fractional positions:
Ta: 0.2579 0.5000 0.2674
Ta: 0.7421 0.5000 0.7326
Ta: 0.5000 0.0000 0.5000
Hg: 0.0000 0.0000 0.0000